# 1
Density functional theory data (PBE) for an optimized crystal structure of Rb2GaSiAu6.

Values from the calculation:
The calculation puts the spin magnetization at 0.00 μB/f.u. The calculation puts the formation energy (no corrections) at -0.267 eV/atom. The space group is Cm, No. 8. The value obtained for the uncorrected energy is -3.27 eV per atom. The calculation puts the calculated volume at 24.34 Å³/atom.

Cell lengths 7.0697, 7.0697, 6.9855 Å; angles 119.52, 119.52, 57.42 degrees
Fractional coordinates of all 10 atoms:
Rb (0.0000, 0.0000, 0.0000)
Rb (0.5687, 0.5687, 0.5688)
Ga (0.3669, 0.3669, 0.8674)
Si (0.8654, 0.8654, 0.3660)
Au (0.0721, 0.4972, 0.0779)
Au (0.0723, 0.4972, 0.4924)
Au (0.1049, 0.1049, 0.6039)
Au (0.4972, 0.0721, 0.0779)
Au (0.4972, 0.0723, 0.4924)
Au (0.6119, 0.6119, 0.1117)



# 2
Density functional theory data (PBE) for an optimized crystal structure of Sm2In8Ni.

Values from the calculation:
The calculation puts the spin magnetization at 0.00 μB/f.u. Its energy relative to the elements is -0.365 eV per atom. The space group is P4/mmm, No. 123. The value obtained for the uncorrected energy is -3.74 eV per atom. The calculation puts the calculated volume at 24.17 Å³/atom.

Cell lengths 4.6626, 4.6626, 12.2299 Å; angles 90.00, 90.00, 90.00 degrees
Fractional coordinates of all 11 atoms:
Sm (0.0000, 0.0000, 0.1929)
Sm (0.0000, 0.0000, 0.8071)
In (0.0000, 0.5000, 0.0000)
In (0.0000, 0.5000, 0.3800)
In (0.0000, 0.5000, 0.6200)
In (0.5000, 0.0000, 0.0000)
In (0.5000, 0.0000, 0.3800)
In (0.5000, 0.0000, 0.6200)
In (0.5000, 0.5000, 0.1922)
In (0.5000, 0.5000, 0.8078)
Ni (0.0000, 0.0000, 0.5000)



# 3
Density functional theory data (PBE) for an optimized crystal structure of HoMgScCo.

Values from the calculation:
As for the energy above the most stable polymorph in this dataset: 146 meV/atom. The calculation puts the spin magnetization at 0.17 μB/f.u. Its energy relative to the elements is -0.034 eV per atom. The space group is F-43m, No. 216. The value obtained for the uncorrected energy is -4.94 eV per atom. The calculation puts the calculated volume at 20.19 Å³/atom.

Cell lengths 4.8515, 4.8515, 4.8515 Å; angles 60.00, 60.00, 60.00 degrees
Fractional coordinates of all 4 atoms:
Ho (0.0000, 0.0000, 0.0000)
Mg (0.7500, 0.7500, 0.7500)
Sc (0.5000, 0.5000, 0.5000)
Co (0.2500, 0.2500, 0.2500)



# 4
Density functional theory data (PBE) for an optimized crystal structure of PmEr8C4.

Values from the calculation:
The calculation puts the spin magnetization at 0.73 μB/f.u. Its energy relative to the elements is -0.219 eV per atom. The space group is C2/m, No. 12. The value obtained for the uncorrected energy is -6.23 eV per atom. The calculation puts the calculated volume at 22.39 Å³/atom.

Cell lengths 9.1208, 9.1208, 12.3186 Å; angles 131.29, 131.29, 22.58 degrees
Fractional coordinates of all 13 atoms:
Pm (0.0000, 0.0000, 0.0000)
Er (0.0416, 0.0416, 0.7305)
Er (0.2935, 0.2935, 0.9359)
Er (0.3357, 0.3357, 0.6513)
Er (0.3602, 0.3602, 0.4014)
Er (0.6398, 0.6398, 0.5986)
Er (0.6643, 0.6643, 0.3487)
Er (0.7065, 0.7065, 0.0641)
Er (0.9584, 0.9584, 0.2695)
C (0.1486, 0.1486, 0.4680)
C (0.3328, 0.3328, 0.1747)
C (0.6672, 0.6672, 0.8253)
C (0.8514, 0.8514, 0.5320)



# 5
Density functional theory data (PBE) for an optimized crystal structure of Eu3W.

Values from the calculation:
As for the energy above the most stable polymorph in this dataset: 0 meV/atom. The calculation puts the spin magnetization at 19.12 μB/f.u. Its energy relative to the elements is 0.746 eV per atom. The space group is P6_3/mmc, No. 194. The value obtained for the uncorrected energy is -10.20 eV per atom. The calculation puts the calculated volume at 29.03 Å³/atom.

Cell lengths 7.0444, 7.0444, 5.4035 Å; angles 90.00, 90.00, 120.00 degrees
Fractional coordinates of all 8 atoms:
Eu (0.1771, 0.3542, 0.2500)
Eu (0.1771, 0.8229, 0.2500)
Eu (0.3542, 0.1771, 0.7500)
Eu (0.6458, 0.8229, 0.2500)
Eu (0.8229, 0.1771, 0.7500)
Eu (0.8229, 0.6458, 0.7500)
W (0.3333, 0.6667, 0.7500)
W (0.6667, 0.3333, 0.2500)



# 6
Density functional theory data (PBE) for an optimized crystal structure of Be2SiSbRh.

Values from the calculation:
The calculation puts the spin magnetization at 0.00 μB/f.u. The calculation puts the formation energy (no corrections) at 1.450 eV/atom. The space group is P4/mmm, No. 123. The value obtained for the uncorrected energy is -3.42 eV per atom. The calculation puts the calculated volume at 20.07 Å³/atom.

Cell lengths 4.3326, 4.3326, 5.3470 Å; angles 90.00, 90.00, 90.00 degrees
Fractional coordinates of all 5 atoms:
Be (0.0000, 0.5000, 0.0000)
Be (0.5000, 0.0000, 0.0000)
Si (0.0000, 0.0000, 0.5000)
Sb (0.0000, 0.0000, 0.0000)
Rh (0.5000, 0.5000, 0.5000)



# 7
Density functional theory data (PBE) for an optimized crystal structure of LiEuHo2.

Values from the calculation:
As for the energy above the most stable polymorph in this dataset: 140 meV/atom. The calculation puts the spin magnetization at 8.20 μB/f.u. Its energy relative to the elements is 0.280 eV per atom. The space group is R-3m, No. 166. The value obtained for the uncorrected energy is -5.06 eV per atom. The calculation puts the calculated volume at 32.68 Å³/atom.

Cell lengths 12.5709, 12.5709, 12.5709 Å; angles 15.95, 15.95, 15.95 degrees
Fractional coordinates of all 4 atoms:
Li (0.0000, 0.0000, 0.0000)
Eu (0.5000, 0.5000, 0.5000)
Ho (0.0860, 0.0860, 0.0860)
Ho (0.9140, 0.9140, 0.9140)



# 8
Density functional theory data (PBE) for an optimized crystal structure of CeSm12Tl3.

Values from the calculation:
The calculation puts the spin magnetization at 1.15 μB/f.u. Its energy relative to the elements is -0.122 eV per atom. The space group is P4/mmm, No. 123. The value obtained for the uncorrected energy is -4.48 eV per atom. The calculation puts the calculated volume at 30.84 Å³/atom.

Cell lengths 4.9408, 4.9408, 20.2134 Å; angles 90.00, 90.00, 90.00 degrees
Fractional coordinates of all 16 atoms:
Ce (0.0000, 0.0000, 0.0000)
Sm (0.0000, 0.5000, 0.1288)
Sm (0.0000, 0.5000, 0.3767)
Sm (0.0000, 0.5000, 0.6233)
Sm (0.0000, 0.5000, 0.8712)
Sm (0.5000, 0.0000, 0.1288)
Sm (0.5000, 0.0000, 0.3767)
Sm (0.5000, 0.0000, 0.6233)
Sm (0.5000, 0.0000, 0.8712)
Sm (0.5000, 0.5000, 0.0000)
Sm (0.5000, 0.5000, 0.2539)
Sm (0.5000, 0.5000, 0.5000)
Sm (0.5000, 0.5000, 0.7461)
Tl (0.0000, 0.0000, 0.2555)
Tl (0.0000, 0.0000, 0.5000)
Tl (0.0000, 0.0000, 0.7445)



# 9
Density functional theory data (PBE) for an optimized crystal structure of ScCd5.

Values from the calculation:
The calculation puts the spin magnetization at 0.00 μB/f.u. Its energy relative to the elements is 0.007 eV per atom. The space group is F-43m, No. 216. The value obtained for the uncorrected energy is -1.81 eV per atom. The calculation puts the calculated volume at 22.77 Å³/atom.

Cell lengths 5.7807, 5.7807, 5.7807 Å; angles 60.00, 60.00, 60.00 degrees
Fractional coordinates of all 6 atoms:
Sc (0.0000, 0.0000, 0.0000)
Cd (0.3745, 0.3745, 0.3745)
Cd (0.3745, 0.3745, 0.8765)
Cd (0.3745, 0.8765, 0.3745)
Cd (0.7500, 0.7500, 0.7500)
Cd (0.8765, 0.3745, 0.3745)



# 10
Density functional theory data (PBE) for an optimized crystal structure of Zr2TlNi.

Values from the calculation:
As for the energy above the most stable polymorph in this dataset: 99 meV/atom. The calculation puts the spin magnetization at 0.00 μB/f.u. Its energy relative to the elements is -0.079 eV per atom. The space group is Cm, No. 8. The value obtained for the uncorrected energy is -6.39 eV per atom. The calculation puts the calculated volume at 20.15 Å³/atom.

Cell lengths 5.7903, 5.7903, 4.8714 Å; angles 114.26, 114.26, 33.11 degrees
Fractional coordinates of all 4 atoms:
Zr (0.0000, 0.0000, 0.0000)
Zr (0.2224, 0.2224, 0.7081)
Tl (0.7932, 0.7932, 0.2780)
Ni (0.5142, 0.5142, 0.5678)



# 11
Density functional theory data (PBE) for an optimized crystal structure of LaGa7Co5.

Values from the calculation:
The calculation puts the spin magnetization at 0.03 μB/f.u. Its energy relative to the elements is -0.312 eV per atom. The space group is Imm2, No. 44. The value obtained for the uncorrected energy is -5.05 eV per atom. The calculation puts the calculated volume at 14.55 Å³/atom.

Cell lengths 6.5978, 6.5978, 6.5978 Å; angles 134.39, 97.82, 99.47 degrees
Fractional coordinates of all 13 atoms:
La (0.0000, 0.0000, 0.0000)
Ga (0.1946, 0.4884, 0.7062)
Ga (0.2421, 0.7421, 0.5000)
Ga (0.3501, 0.3501, 0.0000)
Ga (0.3741, 0.0293, 0.3448)
Ga (0.6609, 0.6609, 0.0000)
Ga (0.6845, 0.0293, 0.6552)
Ga (0.7821, 0.4884, 0.2938)
Co (0.0114, 0.5181, 0.0207)
Co (0.0114, 0.9907, 0.4933)
Co (0.4974, 0.5181, 0.5067)
Co (0.4974, 0.9907, 0.9793)
Co (0.7739, 0.2739, 0.5000)



# 12
Density functional theory data (PBE) for an optimized crystal structure of BaTc3H.

Values from the calculation:
As for the energy above the most stable polymorph in this dataset: 0 meV/atom. The calculation puts the spin magnetization at 4.13 μB/f.u. The space group is Pm-3m, No. 221. The value obtained for the uncorrected energy is -6.07 eV per atom. The calculation puts the calculated volume at 15.99 Å³/atom.

Cell lengths 4.3080, 4.3080, 4.3080 Å; angles 90.00, 90.00, 90.00 degrees
Fractional coordinates of all 5 atoms:
Ba (0.0000, 0.0000, 0.0000)
Tc (0.0000, 0.5000, 0.5000)
Tc (0.5000, 0.0000, 0.5000)
Tc (0.5000, 0.5000, 0.0000)
H (0.5000, 0.5000, 0.5000)